i | Entry from the Alexandria database: an optimized crystal structure of CaAcSm2 (PBE).

Structure (extended XYZ):
```
4
Lattice="1.8890 1.0906 12.3029 -1.8890 1.0906 12.3029 0.0000 -2.1812 12.3029" Properties=species:S:1:pos:R:3 pbc="T T T"
Ca 0.0000 0.0000 0.0000
Ac 0.0000 0.0000 6.1189
Sm 0.0000 0.0000 21.4590
Sm 0.0000 0.0000 27.7059
```



ii | Entry from the Alexandria database: an optimized crystal structure of CaAcSm2 (PBE).

Structure (extended XYZ):
```
8
Lattice="3.7716 0.0000 0.0000 0.0000 5.9526 0.0000 -1.6769 0.0000 13.8280" Properties=species:S:1:pos:R:3 pbc="T T T"
Ca 0.0092 1.4882 5.7956
Ca 2.0855 4.4645 8.0325
Ac 0.2229 1.4882 9.6347
Ac 1.8718 4.4645 4.1934
Sm -0.0065 4.4645 1.0190
Sm 0.2096 4.4645 11.7113
Sm 1.8851 1.4882 2.1168
Sm 2.1012 1.4882 12.8090
```



Most stable: ii (next structure +10 meV/atom)



i | Entry from the Alexandria database: an optimized crystal structure of CaAcSm2 (PBE).

Structure (extended XYZ):
```
4
Lattice="0.0000 4.2373 4.2373 4.2373 0.0000 4.2373 4.2373 4.2373 0.0000" Properties=species:S:1:pos:R:3 pbc="T T T"
Ca 0.0000 0.0000 0.0000
Ac 4.2373 4.2373 4.2373
Sm 2.1187 2.1187 2.1187
Sm 6.3560 6.3560 6.3560
```



ii | Entry from the Alexandria database: an optimized crystal structure of CaAcSm2 (PBE).

Structure (extended XYZ):
```
4
Lattice="5.2576 0.0000 0.0000 0.0000 5.2576 0.0000 0.0000 0.0000 5.4591" Properties=species:S:1:pos:R:3 pbc="T T T"
Ca 0.0000 0.0000 0.0000
Ac 2.6288 2.6288 0.0000
Sm 0.0000 2.6288 2.7295
Sm 2.6288 0.0000 2.7295
```



Most stable: ii (next structure +58 meV/atom)



i | Entry from the Alexandria database: an optimized crystal structure of CaAc2Sn (PBE).

Structure (extended XYZ):
```
4
Lattice="5.3565 0.0000 0.0000 0.0000 5.3565 0.0000 0.0000 0.0000 5.0619" Properties=species:S:1:pos:R:3 pbc="T T T"
Ca 0.0000 0.0000 0.0000
Ac 0.0000 2.6783 2.5310
Ac 2.6783 0.0000 2.5310
Sn 2.6783 2.6783 0.0000
```



ii | Entry from the Alexandria database: an optimized crystal structure of CaAc2Sn (PBE).

Structure (extended XYZ):
```
4
Lattice="0.0000 4.1864 4.1864 4.1864 0.0000 4.1864 4.1864 4.1864 0.0000" Properties=species:S:1:pos:R:3 pbc="T T T"
Ca 0.0000 0.0000 0.0000
Ac 2.0932 2.0932 2.0932
Ac 6.2796 6.2796 6.2796
Sn 4.1864 4.1864 4.1864
```



Most stable: i (next structure +109 meV/atom)



i | Entry from the Alexandria database: an optimized crystal structure of CaAc2Sn (PBE).

Structure (extended XYZ):
```
4
Lattice="1.9651 1.1346 12.6128 -1.9651 1.1346 12.6128 0.0000 -2.2691 12.6128" Properties=species:S:1:pos:R:3 pbc="T T T"
Ca 0.0000 0.0000 0.0000
Ac 0.0000 0.0000 3.7734
Ac 0.0000 0.0000 34.0651
Sn 0.0000 0.0000 18.9192
```



ii | Entry from the Alexandria database: an optimized crystal structure of CaAc2Sn (PBE).

Structure (extended XYZ):
```
4
Lattice="4.4553 0.0000 0.0000 0.0000 4.4553 0.0000 0.0000 0.0000 7.5487" Properties=species:S:1:pos:R:3 pbc="T T T"
Ca 0.0000 0.0000 0.0000
Ac 2.2276 2.2276 2.0869
Ac 2.2276 2.2276 5.4619
Sn 0.0000 0.0000 3.7744
```



Most stable: ii (next structure +294 meV/atom)



i | Entry from the Alexandria database: an optimized crystal structure of CaAc3Sn2 (PBE).

Structure (extended XYZ):
```
6
Lattice="-2.4745 2.5057 9.0708 2.4745 -2.5057 9.0708 2.4745 2.5057 -9.0708" Properties=species:S:1:pos:R:3 pbc="T T T"
Ca 0.0000 0.0000 0.0000
Ac 2.4745 0.0000 5.8261
Ac 0.0000 0.0000 9.0708
Ac 0.0000 2.5057 3.2446
Sn 2.4745 0.0000 2.4086
Sn 0.0000 2.5057 6.6622
```



ii | Entry from the Alexandria database: an optimized crystal structure of CaAc3Sn2 (PBE).

Structure (extended XYZ):
```
12
Lattice="9.2264 -2.4669 0.0000 9.2264 2.4669 0.0000 -5.9291 0.0000 11.2337" Properties=species:S:1:pos:R:3 pbc="T T T"
Ca 0.4270 0.0000 1.7906
Ca 12.0967 0.0000 9.4431
Ac -0.4025 0.0000 5.7260
Ac -0.1433 0.0000 9.8191
Ac 6.6772 0.0000 3.0685
Ac 5.8465 0.0000 8.1652
Ac 12.6670 0.0000 1.4146
Ac 12.9262 0.0000 5.5077
Sn -3.3821 0.0000 10.5441
Sn 2.4944 0.0000 7.4862
Sn 10.0294 0.0000 3.7476
Sn 15.9059 0.0000 0.6896
```



Most stable: i (next structure +160 meV/atom)



i | Entry from the Alexandria database: an optimized crystal structure of Ca3AcSn2 (PBE).

Structure (extended XYZ):
```
12
Lattice="9.5690 -2.4969 0.0000 9.5690 2.4969 0.0000 -5.4160 0.0000 8.6349" Properties=species:S:1:pos:R:3 pbc="T T T"
Ca -0.8756 0.0000 1.4365
Ca 2.8683 0.0000 5.4887
Ca 6.2067 0.0000 0.2005
Ca 7.5152 0.0000 8.4343
Ca 10.8536 0.0000 3.1461
Ca 14.5975 0.0000 7.1984
Ac -0.9751 0.0000 5.4167
Ac 14.6970 0.0000 3.2182
Sn 2.8485 0.0000 1.7944
Sn 7.6594 0.0000 3.0478
Sn 6.0625 0.0000 5.5870
Sn 10.8734 0.0000 6.8405
```



ii | Entry from the Alexandria database: an optimized crystal structure of Ca3AcSn2 (PBE).

Structure (extended XYZ):
```
12
Lattice="5.1062 0.0000 0.0000 0.0000 9.7948 0.0000 0.0000 0.0000 8.1364" Properties=species:S:1:pos:R:3 pbc="T T T"
Ca 0.0000 0.7304 0.0000
Ca 0.0000 3.0324 3.0429
Ca 0.0000 6.7624 7.1111
Ca 0.0000 9.0644 4.0682
Ca 2.5531 1.6992 5.5066
Ca 2.5531 8.0955 1.4384
Ac 2.5531 4.3033 0.4299
Ac 2.5531 5.4915 4.4981
Sn 0.0000 3.5599 6.2734
Sn 0.0000 6.2348 2.2052
Sn 2.5531 1.3585 2.2421
Sn 2.5531 8.4363 6.3104
```



Most stable: ii (next structure +70 meV/atom)



i | Entry from the Alexandria database: an optimized crystal structure of CaAcSn (PBE).

Structure (extended XYZ):
```
9
Lattice="8.6530 0.0000 0.0000 -4.3265 7.4937 0.0000 0.0000 0.0000 4.8999" Properties=species:S:1:pos:R:3 pbc="T T T"
Ca -1.0970 1.9000 0.0000
Ca 2.1939 0.0000 0.0000
Ca 3.2296 5.5938 0.0000
Ac -2.5760 4.4618 2.4500
Ac 1.7505 3.0319 2.4500
Ac 5.1521 0.0000 2.4500
Sn 0.0000 0.0000 2.4500
Sn 0.0000 4.9958 0.0000
Sn 4.3265 2.4979 0.0000
```



ii | Entry from the Alexandria database: an optimized crystal structure of CaAcSn (PBE).

Structure (extended XYZ):
```
12
Lattice="9.0347 0.0000 0.0000 0.0000 3.7249 0.0000 0.0000 0.0000 12.3945" Properties=species:S:1:pos:R:3 pbc="T T T"
Ca 0.7225 0.9312 1.5814
Ca 3.7948 2.7937 7.7787
Ca 5.2399 0.9312 4.6158
Ca 8.3121 2.7937 10.8130
Ac 1.4538 0.9312 5.0839
Ac 3.0636 2.7937 11.2811
Ac 5.9711 0.9312 1.1134
Ac 7.5809 2.7937 7.3106
Sn 1.2304 0.9312 8.6755
Sn 3.2870 2.7937 2.4783
Sn 5.7477 0.9312 9.9162
Sn 7.8043 2.7937 3.7189
```



Most stable: i (next structure +168 meV/atom)



i | Entry from the Alexandria database: an optimized crystal structure of CaAcSn (PBE).

Structure (extended XYZ):
```
6
Lattice="2.5602 1.4782 11.0022 -2.5602 1.4782 11.0022 0.0000 -2.9563 11.0022" Properties=species:S:1:pos:R:3 pbc="T T T"
Ca 0.0000 0.0000 6.2512
Ca 0.0000 0.0000 26.7554
Ac 0.0000 0.0000 2.0678
Ac 0.0000 0.0000 30.9388
Sn 0.0000 0.0000 14.6941
Sn 0.0000 0.0000 18.3125
```



ii | Entry from the Alexandria database: an optimized crystal structure of CaAcSn (PBE).

Structure (extended XYZ):
```
3
Lattice="5.2923 0.0000 0.0000 -2.6461 4.5833 0.0000 0.0000 0.0000 4.4227" Properties=species:S:1:pos:R:3 pbc="T T T"
Ca 0.0000 0.0000 0.0000
Ac 2.6461 1.5277 2.2113
Sn 0.0000 3.0555 0.0000
```



Most stable: ii (next structure +150 meV/atom)



i | Entry from the Alexandria database: an optimized crystal structure of CaAcSn (PBE).

Structure (extended XYZ):
```
3
Lattice="-1.9116 1.9116 7.4247 1.9116 -1.9116 7.4247 1.9116 1.9116 -7.4247" Properties=species:S:1:pos:R:3 pbc="T T T"
Ca 0.0000 0.0000 0.0000
Ac 0.0000 0.0000 4.2187
Sn 0.0000 0.0000 9.4038
```



ii | Entry from the Alexandria database: an optimized crystal structure of CaAcSn (PBE).

Structure (extended XYZ):
```
3
Lattice="0.0000 3.8877 3.8877 3.8877 0.0000 3.8877 3.8877 3.8877 0.0000" Properties=species:S:1:pos:R:3 pbc="T T T"
Ca 0.0000 0.0000 0.0000
Ac 3.8877 3.8877 3.8877
Sn 5.8315 5.8315 5.8315
```



Most stable: ii (next structure +89 meV/atom)



i | Entry from the Alexandria database: an optimized crystal structure of CaAc2Sn2 (PBE).

Structure (extended XYZ):
```
10
Lattice="8.4438 0.0000 0.0000 0.0000 8.4438 0.0000 0.0000 0.0000 4.9707" Properties=species:S:1:pos:R:3 pbc="T T T"
Ca 0.0000 0.0000 0.0000
Ca 4.2219 4.2219 0.0000
Ac 1.4846 2.7373 2.4854
Ac 2.7373 6.9592 2.4854
Ac 5.7065 1.4846 2.4854
Ac 6.9592 5.7065 2.4854
Sn 1.0426 5.2645 0.0000
Sn 3.1793 1.0426 0.0000
Sn 5.2645 7.4012 0.0000
Sn 7.4012 3.1793 0.0000
```



ii | Entry from the Alexandria database: an optimized crystal structure of CaAc2Sn2 (PBE).

Structure (extended XYZ):
```
10
Lattice="-4.3147 6.5646 3.4669 4.3147 -6.5646 3.4669 4.3147 6.5646 -3.4669" Properties=species:S:1:pos:R:3 pbc="T T T"
Ca 0.0000 0.0000 1.7334
Ca 0.0000 0.0000 5.2003
Ac 5.5763 1.8866 0.0000
Ac 1.2616 4.6780 0.0000
Ac 3.0531 1.8866 3.4669
Ac -1.2616 4.6780 3.4669
Sn 2.2336 1.4844 0.0000
Sn 2.2336 -1.4844 3.4669
Sn 2.0811 8.0490 0.0000
Sn 2.0811 5.0802 3.4669
```



Most stable: i (next structure +174 meV/atom)



i | Entry from the Alexandria database: an optimized crystal structure of Sr2CaAc (PBE).

Structure (extended XYZ):
```
4
Lattice="5.6592 0.0000 0.0000 0.0000 5.6592 0.0000 0.0000 0.0000 6.0665" Properties=species:S:1:pos:R:3 pbc="T T T"
Sr 0.0000 2.8296 0.0000
Sr 2.8296 0.0000 0.0000
Ca 0.0000 0.0000 3.0333
Ac 2.8296 2.8296 3.0333
```



ii | Entry from the Alexandria database: an optimized crystal structure of Sr2CaAc (PBE).

Structure (extended XYZ):
```
4
Lattice="4.5681 0.0000 0.0000 0.0000 4.5681 0.0000 0.0000 0.0000 9.1920" Properties=species:S:1:pos:R:3 pbc="T T T"
Sr 0.0000 0.0000 2.2403
Sr 0.0000 0.0000 6.9516
Ca 2.2841 2.2841 0.0000
Ac 2.2841 2.2841 4.5960
```



Most stable: ii (next structure +25 meV/atom)



i | Entry from the Alexandria database: an optimized crystal structure of Sr2CaAc (PBE).

Structure (extended XYZ):
```
4
Lattice="2.0327 1.1736 13.4753 -2.0327 1.1736 13.4753 0.0000 -2.3471 13.4753" Properties=species:S:1:pos:R:3 pbc="T T T"
Sr 0.0000 0.0000 0.0000
Sr 0.0000 0.0000 6.7144
Ca 0.0000 0.0000 16.8352
Ac 0.0000 0.0000 23.5698
```



ii | Entry from the Alexandria database: an optimized crystal structure of Sr2CaAc (PBE).

Structure (extended XYZ):
```
4
Lattice="0.0000 4.5719 4.5719 4.5719 0.0000 4.5719 4.5719 4.5719 0.0000" Properties=species:S:1:pos:R:3 pbc="T T T"
Sr 2.2860 2.2860 2.2860
Sr 6.8579 6.8579 6.8579
Ca 0.0000 0.0000 0.0000
Ac 4.5719 4.5719 4.5719
```



Most stable: i (next structure +34 meV/atom)